(1)
Below is Tb2Y5Er2 after structural relaxation, with properties calculated at the PBE level.

Values from the calculation:
- Relative energy among the computed polymorphs: 219 meV/atom
- SG: Ima2, No. 46

Cell and atoms, written as POSCAR:
```
Tb2Y5Er2
1.0
-8.0457 -7.4585 3.8477
0.0582 -3.1796 -6.0417
9.3502 0.7957 3.5292
Y Tb Er
10 4 4
Direct
0.7855 0.7662 0.1077
0.6165 0.7477 0.7148
0.4016 0.5328 0.2852
0.1778 0.1584 0.8923
0.2145 0.6584 0.8923
0.8222 0.2662 0.1077
0.5984 0.2477 0.7148
0.0193 0.1487 0.5000
0.3835 0.0328 0.2852
0.9807 0.6487 0.5000
0.5000 0.4855 0.0000
0.7334 0.8722 0.5000
0.2666 0.3722 0.5000
0.0000 0.9855 0.0000
0.1178 0.6912 0.2580
0.8822 0.4333 0.7420
0.3598 0.9333 0.7420
0.6402 0.1912 0.2580
```

***

(2)
Below is Fe2NiRu after structural relaxation, with properties calculated at the PBE level.

Values from the calculation:
- SG: Cm, No. 8

Cell and atoms, written as POSCAR:
```
Fe2NiRu
1.0
-1.6178 -3.7495 1.7301
0.8669 -4.1974 1.1399
1.1224 0.5856 4.2803
Fe Ru Ni
2 1 1
Direct
0.9995 0.9995 0.9955
0.2486 0.2486 0.2598
0.7507 0.7507 0.7571
0.5011 0.5011 0.4875
```

***

Density of states at the Fermi level: 1.789 1.326 (states/eV/atom)
Energy relative to the elements: 2.18 0.43 (eV/f.u.)